## PaVSi3 (PBE-GGA)

Data for a geometry-optimized PaVSi3 structure.

Summary:
The calculation puts the total magnetic moment at 0.00 μB/cell. As for the mass density: 7.1 g/cm3. The calculation puts the density of states at the Fermi level at 3.9 states/eV/f.u. Its crystal system is tetragonal. Its formation energy from raw total energies is -139 kJ/mol of formula units.

a = 4.033 Å, b = 4.033 Å, c = 10.546 Å
α = 90.00°, β = 90.00°, γ = 90.00°
Element x y z (fractional)
Pa  0.000  0.000  0.000
Pa  0.500  0.500  0.500
V  0.000  0.000  0.662
V  0.500  0.500  0.162
Si  0.000  0.000  0.441
Si  0.000  0.500  0.288
Si  0.000  0.500  0.788
Si  0.500  0.000  0.288
Si  0.500  0.000  0.788
Si  0.500  0.500  0.941